Entry 1:
Compound: LiYFeTe
Source: OQMD
Functional: PBE
Structure: optimized geometry

It has space group F-43m (No. 216), with a = 6.8891 Å, b = 6.8891 Å, c = 6.8891 Å, α = 90.00°, β = 90.00° and γ = 90.00°. The distinct sites, in fractional coordinates, are Li at (0.0000, 0.0000, 0.0000), Y at (0.2500, 0.2500, 0.7500), Fe at (0.2500, 0.2500, 0.2500) and Te at (0.0000, 0.0000, 0.5000).

Its energy is -4.93 eV per atom.

=====

Entry 2:
Compound: LiYFeTe
Source: OQMD
Functional: PBE
Structure: optimized geometry

It has space group F-43m (No. 216), with a = 6.9601 Å, b = 6.9601 Å, c = 6.9601 Å, α = 90.00°, β = 90.00° and γ = 90.00°. The distinct sites, in fractional coordinates, are Li at (0.0000, 0.0000, 0.0000), Y at (0.0000, 0.0000, 0.5000), Fe at (0.2500, 0.2500, 0.7500) and Te at (0.2500, 0.2500, 0.2500).

Its energy is -5.07 eV per atom.

=====

Entry 3:
Compound: LiThFe
Source: OQMD
Functional: PBE
Structure: optimized geometry

It has space group F-43m (No. 216), with a = 6.1663 Å, b = 6.1663 Å, c = 6.1663 Å, α = 90.00°, β = 90.00° and γ = 90.00°. The distinct sites, in fractional coordinates, are Li at (0.0000, 0.0000, 0.0000), Th at (0.0000, 0.0000, 0.5000) and Fe at (0.2500, 0.2500, 0.2500).

Its energy is -5.53 eV per atom.

=====

Entry 4:
Compound: LiTlZnFe
Source: OQMD
Functional: PBE
Structure: optimized geometry

It has space group F-43m (No. 216), with a = 6.3389 Å, b = 6.3389 Å, c = 6.3389 Å, α = 90.00°, β = 90.00° and γ = 90.00°. The distinct sites, in fractional coordinates, are Li at (0.0000, 0.0000, 0.0000), Tl at (0.2500, 0.2500, 0.2500), Zn at (0.2500, 0.2500, 0.7500) and Fe at (0.0000, 0.0000, 0.5000).

Its energy is -3.30 eV per atom.

=====

Entry 5:
Compound: LiZrTlFe
Source: OQMD
Functional: PBE
Structure: optimized geometry

It has space group F-43m (No. 216), with a = 6.4774 Å, b = 6.4774 Å, c = 6.4774 Å, α = 90.00°, β = 90.00° and γ = 90.00°. The distinct sites, in fractional coordinates, are Li at (0.0000, 0.0000, 0.0000), Zr at (0.2500, 0.2500, 0.7500), Tl at (0.2500, 0.2500, 0.2500) and Fe at (0.0000, 0.0000, 0.5000).

Its energy is -5.24 eV per atom.

=====

Entry 6:
Compound: LiZrTlFe
Source: OQMD
Functional: PBE
Structure: optimized geometry

It has space group F-43m (No. 216), with a = 6.6122 Å, b = 6.6122 Å, c = 6.6122 Å, α = 90.00°, β = 90.00° and γ = 90.00°. The distinct sites, in fractional coordinates, are Li at (0.0000, 0.0000, 0.0000), Zr at (0.2500, 0.2500, 0.2500), Tl at (0.0000, 0.0000, 0.5000) and Fe at (0.2500, 0.2500, 0.7500).

Its energy is -5.02 eV per atom.

=====

Entry 7:
Compound: LiUFe
Source: OQMD
Functional: PBE
Structure: optimized geometry

It has space group F-43m (No. 216), with a = 5.9941 Å, b = 5.9941 Å, c = 5.9941 Å, α = 90.00°, β = 90.00° and γ = 90.00°. The distinct sites, in fractional coordinates, are Li at (0.0000, 0.0000, 0.0000), U at (0.2500, 0.2500, 0.7500) and Fe at (0.0000, 0.0000, 0.5000).

Its energy is -6.04 eV per atom.

=====

Entry 8:
Compound: LiUFe
Source: OQMD
Functional: PBE
Structure: optimized geometry

It has space group F-43m (No. 216), with a = 5.7649 Å, b = 5.7649 Å, c = 5.7649 Å, α = 90.00°, β = 90.00° and γ = 90.00°. The distinct sites, in fractional coordinates, are Li at (0.0000, 0.0000, 0.0000), U at (0.2500, 0.2500, 0.2500) and Fe at (0.2500, 0.2500, 0.7500).

Its energy is -6.33 eV per atom.

=====

Entry 9:
Compound: LiYFeW
Source: OQMD
Functional: PBE
Structure: optimized geometry

It has space group F-43m (No. 216), with a = 6.3506 Å, b = 6.3506 Å, c = 6.3506 Å, α = 90.00°, β = 90.00° and γ = 90.00°. The distinct sites, in fractional coordinates, are Li at (0.0000, 0.0000, 0.0000), Y at (0.2500, 0.2500, 0.7500), Fe at (0.0000, 0.0000, 0.5000) and W at (0.2500, 0.2500, 0.2500).

Its energy is -6.96 eV per atom.

=====

Entry 10:
Compound: LiYFeW
Source: OQMD
Functional: PBE
Structure: optimized geometry

It has space group F-43m (No. 216), with a = 6.5482 Å, b = 6.5482 Å, c = 6.5482 Å, α = 90.00°, β = 90.00° and γ = 90.00°. The distinct sites, in fractional coordinates, are Li at (0.0000, 0.0000, 0.0000), Y at (0.0000, 0.0000, 0.5000), Fe at (0.2500, 0.2500, 0.7500) and W at (0.2500, 0.2500, 0.2500).

Its energy is -6.42 eV per atom.

=====

Entry 11:
Compound: LiYFeW
Source: OQMD
Functional: PBE
Structure: optimized geometry

It has space group F-43m (No. 216), with a = 6.3401 Å, b = 6.3401 Å, c = 6.3401 Å, α = 90.00°, β = 90.00° and γ = 90.00°. The distinct sites, in fractional coordinates, are Li at (0.0000, 0.0000, 0.0000), Y at (0.2500, 0.2500, 0.7500), Fe at (0.2500, 0.2500, 0.2500) and W at (0.0000, 0.0000, 0.5000).

Its energy is -6.83 eV per atom.

=====

Entry 12:
Compound: LiZnFeW
Source: OQMD
Functional: PBE
Structure: optimized geometry

It has space group F-43m (No. 216), with a = 5.8429 Å, b = 5.8429 Å, c = 5.8429 Å, α = 90.00°, β = 90.00° and γ = 90.00°. The distinct sites, in fractional coordinates, are Li at (0.0000, 0.0000, 0.0000), Zn at (0.2500, 0.2500, 0.2500), Fe at (0.0000, 0.0000, 0.5000) and W at (0.2500, 0.2500, 0.7500).

Its energy is -5.93 eV per atom.

=====

Entry 13:
Compound: LiZnFeW
Source: OQMD
Functional: PBE
Structure: optimized geometry

It has space group F-43m (No. 216), with a = 5.9508 Å, b = 5.9508 Å, c = 5.9508 Å, α = 90.00°, β = 90.00° and γ = 90.00°. The distinct sites, in fractional coordinates, are Li at (0.0000, 0.0000, 0.0000), Zn at (0.0000, 0.0000, 0.5000), Fe at (0.2500, 0.2500, 0.7500) and W at (0.2500, 0.2500, 0.2500).

Its energy is -5.47 eV per atom.

=====

Entry 14:
Compound: LiZnFe2
Source: OQMD
Functional: PBE
Structure: optimized geometry

It has space group Pm-3m (No. 221), with a = 5.7619 Å, b = 5.7619 Å, c = 5.7619 Å, α = 90.00°, β = 90.00° and γ = 90.00°. The distinct sites, in fractional coordinates, are Li at (0.0000, 0.0000, 0.0000), Li at (0.0000, 0.0000, 0.5000), Zn at (0.0000, 0.5000, 0.5000), Zn at (0.5000, 0.5000, 0.5000) and Fe at (0.2390, 0.2390, 0.2390).

Its energy is -4.68 eV per atom.

=====

Entry 15:
Compound: LiZnFe2
Source: OQMD
Functional: PBE
Structure: optimized geometry

It has space group Pm-3m (No. 221), with a = 5.7619 Å, b = 5.7619 Å, c = 5.7619 Å, α = 90.00°, β = 90.00° and γ = 90.00°. The distinct sites, in fractional coordinates, are Li at (0.0000, 0.0000, 0.0000), Li at (0.0000, 0.0000, 0.5000), Zn at (0.0000, 0.5000, 0.5000), Zn at (0.5000, 0.5000, 0.5000) and Fe at (0.2390, 0.2390, 0.2390).

Its energy is -4.68 eV per atom.

=====

Entry 16:
Compound: Lu3Fe
Source: OQMD
Functional: PBE
Structure: optimized geometry

It has space group P6_3/mmc (No. 194), with a = 6.5738 Å, b = 6.5738 Å, c = 5.0708 Å, α = 90.00°, β = 90.00° and γ = 120.00°. The distinct sites, in fractional coordinates, are Lu at (0.1734, 0.3467, 0.2500) and Fe at (0.3333, 0.6667, 0.7500).

Its energy is -5.28 eV per atom.

=====

Entry 17:
Compound: Lu3Fe
Source: OQMD
Functional: PBE
Structure: optimized geometry

It has space group Fm-3m (No. 225), with a = 7.0841 Å, b = 7.0841 Å, c = 7.0841 Å, α = 90.00°, β = 90.00° and γ = 90.00°. The distinct sites, in fractional coordinates, are Lu at (0.0000, 0.0000, 0.0000), Lu at (0.2500, 0.2500, 0.2500) and Fe at (0.0000, 0.0000, 0.5000).

Its energy is -5.14 eV per atom.

=====

Entry 18:
Compound: Lu3Fe
Source: OQMD
Functional: PBE
Structure: optimized geometry

It has space group Pm-3m (No. 221), with a = 4.5665 Å, b = 4.5665 Å, c = 4.5665 Å, α = 90.00°, β = 90.00° and γ = 90.00°. The distinct sites, in fractional coordinates, are Lu at (0.0000, 0.0000, 0.5000) and Fe at (0.5000, 0.5000, 0.5000).

Its energy is -5.22 eV per atom.

=====

Entry 19:
Compound: Lu6Fe23
Source: OQMD
Functional: PBE
Structure: optimized geometry

It has space group Fm-3m (No. 225), with a = 11.7517 Å, b = 11.7517 Å, c = 11.7517 Å, α = 90.00°, β = 90.00° and γ = 90.00°. The distinct sites, in fractional coordinates, are Lu at (0.0000, 0.0000, 0.2071), Fe at (0.0000, 0.0000, 0.5000), Fe at (0.0000, 0.2500, 0.2500), Fe at (0.1211, 0.1211, 0.3789) and Fe at (0.1742, 0.1742, 0.1742).

Its energy is -7.63 eV per atom.

=====

Entry 20:
Compound: Lu2Fe
Source: OQMD
Functional: PBE
Structure: optimized geometry

It has space group Fd-3m (No. 227, origin choice 2), with a = 10.7329 Å, b = 10.7329 Å, c = 10.7329 Å, α = 90.00°, β = 90.00° and γ = 90.00°. The distinct sites, in fractional coordinates, are Lu at (0.0000, 0.0000, 0.0000) and Fe at (0.1250, 0.1250, 0.1250).

Its energy is -4.66 eV per atom.

=====

Entry 21:
Compound: LuFe2
Source: OQMD
Functional: PBE
Structure: optimized geometry

It has space group P6_3/mmc (No. 194), with a = 5.0399 Å, b = 5.0399 Å, c = 8.1928 Å, α = 90.00°, β = 90.00° and γ = 120.00°. The distinct sites, in fractional coordinates, are Lu at (0.3333, 0.6667, 0.0624), Fe at (0.0000, 0.0000, 0.0000) and Fe at (0.1669, 0.3338, 0.7500).

Its energy is -7.20 eV per atom.

=====

Entry 22:
Compound: Lu3Fe2
Source: OQMD
Functional: PBE
Structure: optimized geometry

It has space group R-3c (No. 167, hexagonal axes), with a = 6.4698 Å, b = 6.4698 Å, c = 18.1096 Å, α = 90.00°, β = 90.00° and γ = 120.00°. The distinct sites, in fractional coordinates, are Lu at (0.0000, 0.3851, 0.2500) and Fe at (0.0000, 0.0000, 0.1885).

Its energy is -5.92 eV per atom.

=====

Entry 23:
Compound: Lu8Fe
Source: OQMD
Functional: PBE
Structure: optimized geometry

It has space group P-62m (No. 189), with a = 8.8135 Å, b = 8.8135 Å, c = 3.5699 Å, α = 90.00°, β = 90.00° and γ = 120.00°. The distinct sites, in fractional coordinates, are Lu at (0.0000, 0.2391, 0.0000), Lu at (0.0000, 0.6257, 0.5000), Lu at (0.3333, 0.6667, 0.0000) and Fe at (0.0000, 0.0000, 0.5000).

Its energy is -4.91 eV per atom.

=====

Entry 24:
Compound: Lu2Fe
Source: OQMD
Functional: PBE
Structure: optimized geometry

It has space group Fd-3m (No. 227, origin choice 2), with a = 8.1484 Å, b = 8.1484 Å, c = 8.1484 Å, α = 90.00°, β = 90.00° and γ = 90.00°. The distinct sites, in fractional coordinates, are Lu at (0.0000, 0.0000, 0.0000) and Fe at (0.1250, 0.1250, 0.6250).

Its energy is -4.51 eV per atom.

=====

Entry 25:
Compound: Lu3Fe2
Source: OQMD
Functional: PBE
Structure: optimized geometry

It has space group C2/m (No. 12), with a = 12.7774 Å, b = 3.8247 Å, c = 9.1177 Å, α = 90.00°, β = 110.54° and γ = 90.00°. The distinct sites, in fractional coordinates, are Lu at (0.1078, 0.0000, 0.1792), Lu at (0.1359, 0.5000, 0.4947), Lu at (0.1374, 0.5000, 0.8787), Fe at (0.0432, 0.0000, 0.6352) and Fe at (0.2309, 0.0000, 0.7422).

Its energy is -6.09 eV per atom.

=====

Entry 26:
Compound: LuFe2
Source: OQMD
Functional: PBE
Structure: optimized geometry

It has space group P4_2/mnm (No. 136), with a = 4.8802 Å, b = 4.8802 Å, c = 5.1632 Å, α = 90.00°, β = 90.00° and γ = 90.00°. The distinct sites, in fractional coordinates, are Lu at (0.0000, 0.0000, 0.0000) and Fe at (0.1500, 0.1500, 0.5000).

Its energy is -5.90 eV per atom.

=====

Record-wise total moment values, in μB/f.u.: 2.2, 2.0, 0.3, 2.4, 1.8, 2.1, 2.2, 1.5, 0.0, 3.9, 0.0, 0.8, 2.0, 4.7, 4.7, 1.8, 0.2, 1.5, 44.1, 0.0, 2.9, 2.3, 0.1, 0.0, 1.9, 4.4